Compound: ScGeAu
Source: Alexandria via LeMat-Bulk
Functional: PBE
Structure: optimized geometry

Cell: 4.2379 5.0384 6.0686 Å, 104.75 90.08 114.81°
Space group P-1 (No. 2)
One atom of each set of equivalent atoms:
Sc 0.1468 0.2932 0.3061 x2
Ge 0.5000 0.0000 0.0000 x1
Ge 0.5000 0.0000 0.5000 x1
Au 0.1777 0.3541 0.8115 x2

- energy of formation (eV per atom) = -0.554
- V (A^3/atom) = 18.81
- total DFT energy (no corrections) (eV per atom) = -5.296
- magnetic moment (μB/f.u.) = 0.0



Compound: ScGeAu
Source: Alexandria via LeMat-Bulk
Functional: PBE
Structure: optimized geometry

Cell: 4.7308 7.3505 6.6296 Å, 90.00 90.00 90.00°
Space group Ima2 (No. 46)
One atom of each set of equivalent atoms:
Sc 0.2500 0.2231 0.0000 x4
Ge 0.2500 0.5717 0.2195 x4
Au 0.2500 0.5917 0.7878 x4

- energy of formation (eV per atom) = -0.543
- V (A^3/atom) = 19.21
- total DFT energy (no corrections) (eV per atom) = -5.285
- magnetic moment (μB/f.u.) = 0.0



Compound: Sc2Ge2Au
Source: Alexandria via LeMat-Bulk
Functional: PBE
Structure: optimized geometry

Cell: 6.8311 6.8311 4.0328 Å, 90.00 90.00 90.00°
Space group P4/mbm (No. 127)
One atom of each set of equivalent atoms:
Sc 0.1724 0.3276 0.0000 x4
Ge 0.1304 0.6304 0.5000 x4
Au 0.0000 0.0000 0.5000 x2

- energy of formation (eV per atom) = -0.743
- V (A^3/atom) = 18.82
- total DFT energy (no corrections) (eV per atom) = -5.778
- magnetic moment (μB/f.u.) = 0.0



Compound: ScGe2Au2
Source: Alexandria via LeMat-Bulk
Functional: PBE
Structure: optimized geometry

Cell: 7.3279 7.3279 3.5768 Å, 90.00 90.00 90.00°
Space group P4/mbm (No. 127)
One atom of each set of equivalent atoms:
Sc 0.0000 0.0000 0.0000 x2
Ge 0.1362 0.3638 0.0000 x4
Au 0.1669 0.6669 0.5000 x4

- energy of formation (eV per atom) = -0.202
- V (A^3/atom) = 19.21
- total DFT energy (no corrections) (eV per atom) = -4.626
- magnetic moment (μB/f.u.) = 0.0



Compound: ScGe2Au
Source: Alexandria via LeMat-Bulk
Functional: PBE
Structure: optimized geometry

Cell: 6.7068 6.7068 6.7068 Å, 90.00 90.00 90.00°
Space group Fm-3m (No. 225)
One atom of each set of equivalent atoms:
Sc 0.0000 0.0000 0.0000 x4
Ge 0.2500 0.2500 0.2500 x8
Au 0.0000 0.0000 0.5000 x4

- energy of formation (eV per atom) = -0.187
- V (A^3/atom) = 18.85
- total DFT energy (no corrections) (eV per atom) = -4.898
- magnetic moment (μB/f.u.) = 0.0



Compound: ScGeAu3
Source: Alexandria via LeMat-Bulk
Functional: PBE
Structure: optimized geometry

Cell: 4.8486 4.8486 4.8486 Å, 90.00 90.00 90.00°
Space group Pm-3m (No. 221)
One atom of each set of equivalent atoms:
Sc 0.0000 0.0000 0.0000 x1
Ge 0.5000 0.5000 0.5000 x1
Au 0.0000 0.5000 0.5000 x3

- energy of formation (eV per atom) = 0.096
- V (A^3/atom) = 22.80
- total DFT energy (no corrections) (eV per atom) = -4.060
- magnetic moment (μB/f.u.) = 0.0



Compound: ScGeAu
Source: Alexandria via LeMat-Bulk
Functional: PBE
Structure: optimized geometry

Cell: 9.2603 3.5642 7.0855 Å, 90.00 90.43 90.00°
Space group C2/m (No. 12)
One atom of each set of equivalent atoms:
Sc 0.0706 0.0000 0.2607 x4
Ge 0.1478 0.5000 0.9577 x4
Au 0.1418 0.5000 0.5797 x4

- energy of formation (eV per atom) = -0.561
- V (A^3/atom) = 19.49
- total DFT energy (no corrections) (eV per atom) = -5.303
- magnetic moment (μB/f.u.) = 0.0



Compound: ScGeAu
Source: Alexandria via LeMat-Bulk
Functional: PBE
Structure: optimized geometry

Cell: 4.0479 9.7745 5.7036 Å, 90.00 90.00 90.00°
Space group Cmcm (No. 63)
One atom of each set of equivalent atoms:
Sc 0.0000 0.1921 0.2500 x4
Ge 0.0000 0.1168 0.7500 x4
Au 0.0000 0.5000 0.0000 x4

- energy of formation (eV per atom) = -0.541
- V (A^3/atom) = 18.81
- total DFT energy (no corrections) (eV per atom) = -5.283
- magnetic moment (μB/f.u.) = 0.0



Compound: ScGeAu
Source: Alexandria via LeMat-Bulk
Functional: PBE
Structure: optimized geometry

Cell: 4.3722 4.3722 6.8954 Å, 90.00 90.00 120.00°
Space group P6_3mc (No. 186)
One atom of each set of equivalent atoms:
Sc 0.0000 0.0000 0.0000 x2
Ge 0.3333 0.6667 0.2036 x2
Au 0.3333 0.6667 0.8024 x2

- energy of formation (eV per atom) = -0.724
- V (A^3/atom) = 19.03
- total DFT energy (no corrections) (eV per atom) = -5.466
- magnetic moment (μB/f.u.) = 0.0



Compound: Sc3Ge3Au
Source: Alexandria via LeMat-Bulk
Functional: PBE
Structure: optimized geometry

Cell: 10.3062 4.1498 13.2931 Å, 90.00 108.94 90.00°
Space group C2/m (No. 12)
One atom of each set of equivalent atoms:
Sc 0.0179 0.0000 0.3720 x4
Sc 0.1040 0.0000 0.9257 x4
Sc 0.2303 0.0000 0.2202 x4
Ge 0.0035 0.5000 0.2218 x4
Ge 0.1227 0.5000 0.0744 x4
Ge 0.1253 0.5000 0.5499 x4
Au 0.2283 0.5000 0.3847 x4

- energy of formation (eV per atom) = -0.740
- V (A^3/atom) = 19.20
- total DFT energy (no corrections) (eV per atom) = -5.900
- magnetic moment (μB/f.u.) = 0.0



Compound: ScGeAu
Source: Alexandria via LeMat-Bulk
Functional: PBE
Structure: optimized geometry

Cell: 4.2832 4.2832 6.5825 Å, 90.00 90.00 90.00°
Space group P4/nmm (No. 129, origin choice 2)
One atom of each set of equivalent atoms:
Sc 0.2500 0.7500 0.0000 x2
Ge 0.2500 0.2500 0.3121 x2
Au 0.2500 0.2500 0.7087 x2

- energy of formation (eV per atom) = -0.336
- V (A^3/atom) = 20.13
- total DFT energy (no corrections) (eV per atom) = -5.078
- magnetic moment (μB/f.u.) = 0.1



Compound: Sc2Ge2Au
Source: Alexandria via LeMat-Bulk
Functional: PBE
Structure: optimized geometry

Cell: 7.9368 7.9368 3.1921 Å, 90.00 90.00 90.00°
Space group P4/mbm (No. 127)
One atom of each set of equivalent atoms:
Sc 0.1368 0.3632 0.0000 x4
Ge 0.1700 0.6700 0.5000 x4
Au 0.0000 0.0000 0.0000 x2

- energy of formation (eV per atom) = -0.363
- V (A^3/atom) = 20.11
- total DFT energy (no corrections) (eV per atom) = -5.398
- magnetic moment (μB/f.u.) = 0.0



Compound: ScGeAu
Source: Alexandria via LeMat-Bulk
Functional: PBE
Structure: optimized geometry

Cell: 10.0527 4.1221 6.7807 Å, 90.00 126.67 90.00°
Space group C2/m (No. 12)
One atom of each set of equivalent atoms:
Sc 0.0593 0.0000 0.3076 x4
Ge 0.1518 0.5000 0.6605 x4
Au 0.1651 0.5000 0.0797 x4

- energy of formation (eV per atom) = -0.622
- V (A^3/atom) = 18.78
- total DFT energy (no corrections) (eV per atom) = -5.364
- magnetic moment (μB/f.u.) = 0.0